Material: Re2AgSe
Method: DFT, PBE-GGA
State: optimized geometry

Unit cell a=8.849 b=8.849 c=8.849 alpha=18.93 beta=18.93 gamma=18.93
Element x y z (fractional)
Ag 0.250 0.250 0.250
Re 0.008 0.008 0.008
Re 0.492 0.492 0.492
Se 0.750 0.750 0.750

Total moment: 0.00 μB/atom
Total energy: -7.10 eV per atom
E_form (uncorrected): 705.8 meV/atom